An optimized crystal structure of ZnMo2Cl. Source: Alexandria via LeMat-Bulk, functional PBE-GGA.

CIF file:
```
data_ZnMo2Cl
_symmetry_space_group_name_H-M 'P 4/m m m'
_symmetry_Int_Tables_number 123
_symmetry_space_group_name_Hall '-P 4 2'
_cell_length_a 3.784
_cell_length_b 3.784
_cell_length_c 4.600
_cell_angle_alpha 90.00
_cell_angle_beta 90.00
_cell_angle_gamma 90.00
loop_
_atom_site_label
_atom_site_fract_x
_atom_site_fract_y
_atom_site_fract_z
_atom_site_occupancy
Zn1 0.000 0.000 0.000 1
Mo1 0.000 0.500 0.500 1
Cl1 0.500 0.500 0.000 1
```

- total moment (μB per formula unit) = 0.3
- calculated volume (Å³/atom) = 16.5
- relative energy among the computed polymorphs (eV/f.u.) = 2.859
- raw formation energy (eV/atom) = 0.900
- density of states at the Fermi level (states/eV per cell) = 3.946

An optimized crystal structure of ZnMoCl. Source: Alexandria via LeMat-Bulk, functional PBE-GGA.

CIF file:
```
data_ZnMoCl
_symmetry_space_group_name_H-M 'P -6 m 2'
_symmetry_Int_Tables_number 187
_symmetry_space_group_name_Hall 'P -6 2'
_cell_length_a 4.4551
_cell_length_b 4.4551
_cell_length_c 2.7912
_cell_angle_alpha 90.00
_cell_angle_beta 90.00
_cell_angle_gamma 120.00
loop_
_atom_site_label
_atom_site_fract_x
_atom_site_fract_y
_atom_site_fract_z
_atom_site_occupancy
Zn1 0.0000 0.0000 0.0000 1
Mo1 0.3333 0.6667 0.5000 1
Cl1 0.6667 0.3333 0.5000 1
```

- total moment (μB per formula unit) = 0.0
- calculated volume (Å³/atom) = 16.0
- relative energy among the computed polymorphs (eV/f.u.) = 1.333
- raw formation energy (eV/atom) = 0.490
- density of states at the Fermi level (states/eV per cell) = 1.957

An optimized crystal structure of ZnMoCl. Source: Alexandria via LeMat-Bulk, functional PBE-GGA.

CIF file:
```
data_ZnMoCl
_symmetry_space_group_name_H-M 'F m m 2'
_symmetry_Int_Tables_number 42
_symmetry_space_group_name_Hall 'F 2 -2'
_cell_length_a 3.014
_cell_length_b 5.366
_cell_length_c 13.752
_cell_angle_alpha 90.00
_cell_angle_beta 90.00
_cell_angle_gamma 90.00
loop_
_atom_site_label
_atom_site_fract_x
_atom_site_fract_y
_atom_site_fract_z
_atom_site_occupancy
Zn1 0.000 0.000 0.000 1
Mo1 0.000 0.000 0.655 1
Cl1 0.000 0.000 0.294 1
```

- total moment (μB per formula unit) = 0.8
- calculated volume (Å³/atom) = 18.5
- relative energy among the computed polymorphs (eV/f.u.) = 0.604
- raw formation energy (eV/atom) = 0.247
- density of states at the Fermi level (states/eV per cell) = 5.112

An optimized crystal structure of ZnMo2Cl. Source: Alexandria via LeMat-Bulk, functional PBE-GGA.

CIF file:
```
data_ZnMo2Cl
_symmetry_space_group_name_H-M 'P m m m'
_symmetry_Int_Tables_number 47
_cell_length_a 2.848
_cell_length_b 4.656
_cell_length_c 4.902
_cell_angle_alpha 90.00
_cell_angle_beta 90.00
_cell_angle_gamma 90.00
loop_
_symmetry_equiv_pos_as_xyz
'x,y,z'
'-x,-y,-z'
'-x,-y,z'
'x,y,-z'
'x,-y,-z'
'-x,y,z'
'-x,y,-z'
'x,-y,z'
loop_
_atom_site_label
_atom_site_fract_x
_atom_site_fract_y
_atom_site_fract_z
_atom_site_occupancy
Zn1 0.000 0.000 0.000 1
Mo1 0.000 0.500 0.500 1
Mo2 0.500 0.500 0.000 1
Cl1 0.500 0.000 0.500 1
```

- total moment (μB per formula unit) = 0.0
- calculated volume (Å³/atom) = 16.3
- relative energy among the computed polymorphs (eV/f.u.) = 1.744
- raw formation energy (eV/atom) = 0.621
- density of states at the Fermi level (states/eV per cell) = 3.757

An optimized crystal structure of ZnMoCl4. Source: Alexandria via LeMat-Bulk, functional PBE-GGA.

CIF file:
```
data_ZnMoCl4
_symmetry_space_group_name_H-M 'F -4 3 m'
_symmetry_Int_Tables_number 216
_symmetry_space_group_name_Hall 'F -4 2 3'
_cell_length_a 8.278
_cell_length_b 8.278
_cell_length_c 8.278
_cell_angle_alpha 90.00
_cell_angle_beta 90.00
_cell_angle_gamma 90.00
loop_
_atom_site_label
_atom_site_fract_x
_atom_site_fract_y
_atom_site_fract_z
_atom_site_occupancy
Zn1 0.000 0.000 0.000 1
Mo1 0.250 0.250 0.250 1
Cl1 0.125 0.125 0.625 1
```

- total moment (μB per formula unit) = 1.9
- calculated volume (Å³/atom) = 23.6
- raw formation energy (eV/atom) = 0.916
- density of states at the Fermi level (states/eV per cell) = 15.815

An optimized crystal structure of ZnMo2Cl. Source: Alexandria via LeMat-Bulk, functional PBE-GGA.

CIF file:
```
data_ZnMo2Cl
_symmetry_space_group_name_H-M 'P 4/m m m'
_symmetry_Int_Tables_number 123
_symmetry_space_group_name_Hall '-P 4 2'
_cell_length_a 3.262
_cell_length_b 3.262
_cell_length_c 6.542
_cell_angle_alpha 90.00
_cell_angle_beta 90.00
_cell_angle_gamma 90.00
loop_
_atom_site_label
_atom_site_fract_x
_atom_site_fract_y
_atom_site_fract_z
_atom_site_occupancy
Zn1 0.000 0.000 0.000 1
Mo1 0.500 0.500 0.184 1
Cl1 0.000 0.000 0.500 1
```

- total moment (μB per formula unit) = 0.0
- calculated volume (Å³/atom) = 17.4
- relative energy among the computed polymorphs (eV/f.u.) = 1.479
- raw formation energy (eV/atom) = 0.554
- density of states at the Fermi level (states/eV per cell) = 2.851

An optimized crystal structure of ZnMo2Cl. Source: Alexandria via LeMat-Bulk, functional PBE-GGA.

CIF file:
```
data_ZnMo2Cl
_symmetry_space_group_name_H-M 'I m m m'
_symmetry_Int_Tables_number 71
_symmetry_space_group_name_Hall '-I 2 2'
_cell_length_a 2.826
_cell_length_b 4.958
_cell_length_c 9.172
_cell_angle_alpha 90.00
_cell_angle_beta 90.00
_cell_angle_gamma 90.00
loop_
_atom_site_label
_atom_site_fract_x
_atom_site_fract_y
_atom_site_fract_z
_atom_site_occupancy
Zn1 0.000 0.000 0.000 1
Mo1 0.000 0.500 0.231 1
Cl1 0.000 0.000 0.500 1
```

- total moment (μB per formula unit) = 0.0
- calculated volume (Å³/atom) = 16.1
- relative energy among the computed polymorphs (eV/f.u.) = 1.436
- raw formation energy (eV/atom) = 0.544
- density of states at the Fermi level (states/eV per cell) = 7.981

An optimized crystal structure of ZnMoCl. Source: Alexandria via LeMat-Bulk, functional PBE-GGA.

CIF file:
```
data_ZnMoCl
_symmetry_space_group_name_H-M 'F -4 3 m'
_symmetry_Int_Tables_number 216
_symmetry_space_group_name_Hall 'F -4 2 3'
_cell_length_a 6.587
_cell_length_b 6.587
_cell_length_c 6.587
_cell_angle_alpha 90.00
_cell_angle_beta 90.00
_cell_angle_gamma 90.00
loop_
_atom_site_label
_atom_site_fract_x
_atom_site_fract_y
_atom_site_fract_z
_atom_site_occupancy
Zn1 0.000 0.000 0.000 1
Mo1 0.250 0.250 0.750 1
Cl1 0.250 0.250 0.250 1
```

- total moment (μB per formula unit) = 4.5
- calculated volume (Å³/atom) = 23.8
- relative energy among the computed polymorphs (eV/f.u.) = 3.435
- raw formation energy (eV/atom) = 1.190
- density of states at the Fermi level (states/eV per cell) = 7.477

An optimized crystal structure of ZnMo2Cl. Source: Alexandria via LeMat-Bulk, functional PBE-GGA.

CIF file:
```
data_ZnMo2Cl
_symmetry_space_group_name_H-M 'I m m 2'
_symmetry_Int_Tables_number 44
_cell_length_a 3.116
_cell_length_b 4.454
_cell_length_c 11.465
_cell_angle_alpha 90.00
_cell_angle_beta 90.00
_cell_angle_gamma 90.00
loop_
_symmetry_equiv_pos_as_xyz
'x,y,z'
'-x,-y,z'
'-x,y,z'
'x,-y,z'
'x+1/2,y+1/2,z+1/2'
'-x+1/2,-y+1/2,z+1/2'
'-x+1/2,y+1/2,z+1/2'
'x+1/2,-y+1/2,z+1/2'
loop_
_atom_site_label
_atom_site_fract_x
_atom_site_fract_y
_atom_site_fract_z
_atom_site_occupancy
Zn1 0.000 0.000 0.000 1
Mo1 0.000 0.000 0.466 1
Mo2 0.000 0.500 0.125 1
Cl1 0.000 0.500 0.766 1
```

- total moment (μB per formula unit) = 0.0
- calculated volume (Å³/atom) = 19.9
- relative energy among the computed polymorphs (eV/f.u.) = 0.919
- raw formation energy (eV/atom) = 0.415
- density of states at the Fermi level (states/eV per cell) = 5.138

An optimized crystal structure of Zn4MoCl. Source: Alexandria via LeMat-Bulk, functional PBE-GGA.

CIF file:
```
data_Zn4MoCl
_symmetry_space_group_name_H-M 'F -4 3 m'
_symmetry_Int_Tables_number 216
_symmetry_space_group_name_Hall 'F -4 2 3'
_cell_length_a 7.273
_cell_length_b 7.273
_cell_length_c 7.273
_cell_angle_alpha 90.00
_cell_angle_beta 90.00
_cell_angle_gamma 90.00
loop_
_atom_site_label
_atom_site_fract_x
_atom_site_fract_y
_atom_site_fract_z
_atom_site_occupancy
Zn1 0.123 0.123 0.377 1
Mo1 0.250 0.250 0.750 1
Cl1 0.000 0.000 0.000 1
```

- total moment (μB per formula unit) = 0.6
- calculated volume (Å³/atom) = 16.0
- raw formation energy (eV/atom) = 0.440
- density of states at the Fermi level (states/eV per cell) = 23.822

An optimized crystal structure of ZnMo2Cl. Source: Alexandria via LeMat-Bulk, functional PBE-GGA.

CIF file:
```
data_ZnMo2Cl
_symmetry_space_group_name_H-M 'I 4/m m m'
_symmetry_Int_Tables_number 139
_symmetry_space_group_name_Hall '-I 4 2'
_cell_length_a 3.797
_cell_length_b 3.797
_cell_length_c 9.081
_cell_angle_alpha 90.00
_cell_angle_beta 90.00
_cell_angle_gamma 90.00
loop_
_atom_site_label
_atom_site_fract_x
_atom_site_fract_y
_atom_site_fract_z
_atom_site_occupancy
Zn1 0.000 0.000 0.000 1
Mo1 0.000 0.500 0.250 1
Cl1 0.000 0.000 0.500 1
```

- total moment (μB per formula unit) = 0.0
- calculated volume (Å³/atom) = 16.4
- relative energy among the computed polymorphs (eV/f.u.) = 2.853
- raw formation energy (eV/atom) = 0.898
- density of states at the Fermi level (states/eV per cell) = 7.357

An optimized crystal structure of ZnMo2Cl. Source: Alexandria via LeMat-Bulk, functional PBE-GGA.

CIF file:
```
data_ZnMo2Cl
_symmetry_space_group_name_H-M 'P 4/m m m'
_symmetry_Int_Tables_number 123
_symmetry_space_group_name_Hall '-P 4 2'
_cell_length_a 2.762
_cell_length_b 2.762
_cell_length_c 8.217
_cell_angle_alpha 90.00
_cell_angle_beta 90.00
_cell_angle_gamma 90.00
loop_
_atom_site_label
_atom_site_fract_x
_atom_site_fract_y
_atom_site_fract_z
_atom_site_occupancy
Zn1 0.000 0.000 0.000 1
Mo1 0.500 0.500 0.245 1
Cl1 0.000 0.000 0.500 1
```

- total moment (μB per formula unit) = 0.0
- calculated volume (Å³/atom) = 15.7
- relative energy among the computed polymorphs (eV/f.u.) = 1.660
- raw formation energy (eV/atom) = 0.600
- density of states at the Fermi level (states/eV per cell) = 3.671

> density of states at the Fermi level of number 11 (ZnMo2Cl)?

7.357 states/eV per cell